First-principles (PBE-GGA) data for a relaxed structure of LaSm2Tm, as listed in Alexandria.

Results
**Formation energy from the elements**: 0.03 eV/atom

Cell: 3.6251 3.6251 10.2665 Å, 90.00 90.00 90.00°
Closest atoms and distances in Å follow each position.
Atoms (fractional coordinates):
La  0.0000  0.0000  0.0000  4 La 3.63, 8 Sm 3.69
Sm  0.5000  0.5000  0.2584  4 Tm 3.57, 4 Sm 3.63, 4 La 3.69
Sm  0.5000  0.5000  0.7416  4 Tm 3.57, 4 Sm 3.63, 4 La 3.69
Tm  0.0000  0.0000  0.5000  8 Sm 3.57, 4 Tm 3.63